Compound: Li2MgIr
Source: Alexandria via LeMat-Bulk
Functional: GGA-PBEsol
Structure: optimized geometry

Summary:
energy of formation: -0.090 eV per atom
DOS at the Fermi energy: 0.34 states/eV/atom
total moment: 0.0 μB per formula unit

a b c (Å): 6.137 6.137 6.137
angles (deg): 90.00 90.00 90.00
Fractional coordinates of all 16 atoms:
Li 0.000 0.000 0.000
Li 0.000 0.500 0.500
Li 0.250 0.250 0.250
Li 0.250 0.750 0.750
Li 0.500 0.000 0.500
Li 0.500 0.500 0.000
Li 0.750 0.250 0.750
Li 0.750 0.750 0.250
Mg 0.250 0.250 0.750
Mg 0.250 0.750 0.250
Mg 0.750 0.250 0.250
Mg 0.750 0.750 0.750
Ir 0.000 0.000 0.500
Ir 0.000 0.500 0.000
Ir 0.500 0.000 0.000
Ir 0.500 0.500 0.500